Record 1
Density functional theory data (GGA-PBE) for an optimized crystal structure of Sc2BeAu2.

The structure in CIF format:
```
data_Sc2BeAu2
_space_group_name_H-M_alt 'P 4/m b m'
_space_group_IT_number 127
_space_group_name_Hall '-P 4 2ab'
_cell_length_a 6.988
_cell_length_b 6.988
_cell_length_c 3.899
_cell_angle_alpha 90.00
_cell_angle_beta 90.00
_cell_angle_gamma 90.00
loop_
_atom_site_label
_atom_site_type_symbol
_atom_site_fract_x
_atom_site_fract_y
_atom_site_fract_z
Sc1 Sc 0.166 0.334 0.000
Be1 Be 0.000 0.000 0.500
Au1 Au 0.144 0.644 0.500
```

Calculated values
Energy of formation from the pure elements ... -0.412 eV/atom
Electronic total energy ... -5.000 eV per atom

Record 2
Density functional theory data (GGA-PBE) for an optimized crystal structure of Au2SeN.

The structure in CIF format:
```
data_Au2SeN
_space_group_name_H-M_alt 'I -4 2 d'
_space_group_IT_number 122
_space_group_name_Hall 'I -4 2bw'
_cell_length_a 5.006
_cell_length_b 5.006
_cell_length_c 12.454
_cell_angle_alpha 90.00
_cell_angle_beta 90.00
_cell_angle_gamma 90.00
loop_
_atom_site_label
_atom_site_type_symbol
_atom_site_fract_x
_atom_site_fract_y
_atom_site_fract_z
Au1 Au 0.139 0.250 0.125
Se1 Se 0.000 0.000 0.500
N1 N 0.000 0.000 0.000
```

Calculated values
Formation energy without anion corrections ... 0.847 eV/atom
Relative energy among the computed polymorphs ... 0.0 meV per atom
Electronic total energy ... -3.745 eV per atom

Record 3
Density functional theory data (GGA-PBE) for an optimized crystal structure of K4YRu.

The structure in CIF format:
```
data_K4YRu
_space_group_name_H-M_alt 'F -4 3 m'
_space_group_IT_number 216
_space_group_name_Hall 'F -4 2 3'
_cell_length_a 9.790
_cell_length_b 9.790
_cell_length_c 9.790
_cell_angle_alpha 90.00
_cell_angle_beta 90.00
_cell_angle_gamma 90.00
loop_
_atom_site_label
_atom_site_type_symbol
_atom_site_fract_x
_atom_site_fract_y
_atom_site_fract_z
K1 K 0.123 0.123 0.123
Y1 Y 0.000 0.000 0.500
Ru1 Ru 0.250 0.250 0.750
```

Calculated values
Energy of formation from the pure elements ... 1.180 eV/atom
Electronic total energy ... -2.175 eV per atom

Looking at volume for the records above, in order, we have 19.04 19.50 39.09 Å³/atom.